Density functional theory data (PBE with a Hubbard U) for an optimized crystal structure of YMnRh2O.

The structure belongs to space group P4/mmm (No. 123); the cell edges are 4.897, 4.897 and 3.630 Å and the angles 90.00°, 90.00° and 90.00°. The inequivalent atoms are Y at (0.000, 0.000, 0.000), Mn at (0.500, 0.500, 0.500), Rh at (0.000, 0.500, 0.500) and O at (0.500, 0.500, 0.000).

For the total DFT energy (no corrections), the calculation gives -6.890 eV/atom. As for the spin magnetization: 3.92 μB/cell. The density of states at the Fermi level comes out at 0.589 states/eV per atom.